Record 1
Entry from Alexandria: Sr6Pd2AuN after structural relaxation (PBE). Values from VASP.

Quantum ESPRESSO input file:
```
&SYSTEM
  ibrav = 0, nat = 20, ntyp = 4
/
ATOMIC_SPECIES
Sr 87.62 Sr.upf
Pd 106.42 Pd.upf
Au 196.97 Au.upf
N 14.01 N.upf
CELL_PARAMETERS angstrom
-6.3718 1.1366 3.3147
0.8546 -6.8968 4.0076
4.6221 5.2369 8.0267
ATOMIC_POSITIONS angstrom
Sr -1.0504 -3.8940 4.1171
Sr -1.7709 -1.9525 10.5113
Sr 0.1553 3.3707 11.2320
Sr 0.8758 1.4291 4.8377
Sr 0.3602 -2.2263 7.4423
Sr -0.4408 0.3646 13.4592
Sr -1.2553 1.7030 7.9068
Sr -0.4543 -0.8879 1.8899
Sr -3.9631 -1.6145 6.8759
Sr 1.8782 -2.3429 10.8464
Sr 3.0680 1.0912 8.4732
Sr -2.7732 1.8196 4.5026
Pd 1.7154 -4.7697 5.8078
Pd 0.5917 0.4251 10.3117
Pd -2.6104 4.2464 9.5412
Pd -1.4868 -0.9484 5.0374
Au -3.1859 0.5683 1.6574
Au 2.7384 -0.8300 6.0172
N -0.8748 3.1868 5.6707
N 0.4273 -3.4484 2.0038
```

Results
* ΔE_f (raw): -0.53 eV per atom
* V: 31.01 Å³ per atom
* M_tot: 0.00 μB/f.u.

Record 2
Entry from Alexandria: Te2PdAuN after structural relaxation (PBE). Values from VASP.

Quantum ESPRESSO input file:
```
&SYSTEM
  ibrav = 0, nat = 5, ntyp = 4
/
ATOMIC_SPECIES
Te 127.60 Te.upf
Au 196.97 Au.upf
Pd 106.42 Pd.upf
N 14.01 N.upf
CELL_PARAMETERS angstrom
5.6453 0.0000 0.0000
0.0000 5.6453 0.0000
0.0000 0.0000 3.7085
ATOMIC_POSITIONS angstrom
Te 0.0000 2.8226 0.0000
Te 2.8226 0.0000 0.0000
Au 0.0000 0.0000 0.0000
Pd 2.8226 2.8226 1.8542
N 0.0000 0.0000 1.8542
```

Results
* ΔE_f (raw): 1.03 eV per atom
* offset from the most stable computed form: 298 meV per atom
* V: 23.64 Å³ per atom
* M_tot: 0.32 μB/f.u.

Record 3
Entry from Alexandria: TePdAuN2 after structural relaxation (PBE). Values from VASP.

Quantum ESPRESSO input file:
```
&SYSTEM
  ibrav = 0, nat = 5, ntyp = 4
/
ATOMIC_SPECIES
Te 127.60 Te.upf
Au 196.97 Au.upf
Pd 106.42 Pd.upf
N 14.01 N.upf
CELL_PARAMETERS angstrom
3.8981 0.0000 0.0000
0.0000 3.8981 0.0000
0.0000 0.0000 6.1673
ATOMIC_POSITIONS angstrom
Te 0.0000 0.0000 3.0837
Au 1.9490 1.9490 3.0837
Pd 0.0000 0.0000 0.0000
N 0.0000 1.9490 0.0000
N 1.9490 0.0000 0.0000
```

Results
* ΔE_f (raw): 1.40 eV per atom
* offset from the most stable computed form: 0 meV per atom
* V: 18.74 Å³ per atom
* M_tot: 0.00 μB/f.u.

Record 4
Entry from Alexandria: TePdAuN2 after structural relaxation (PBE). Values from VASP.

Quantum ESPRESSO input file:
```
&SYSTEM
  ibrav = 0, nat = 5, ntyp = 4
/
ATOMIC_SPECIES
Te 127.60 Te.upf
Au 196.97 Au.upf
Pd 106.42 Pd.upf
N 14.01 N.upf
CELL_PARAMETERS angstrom
-1.0903 0.2272 3.8050
-3.1786 -2.2385 -0.7772
3.4979 -5.4275 1.3264
ATOMIC_POSITIONS angstrom
Te 1.7490 -2.7137 0.6632
Au 0.0000 0.0000 0.0000
Pd -0.3855 -3.7194 2.1772
N -1.5893 -1.1193 -0.3886
N -0.5452 0.1136 1.9025
```

Results
* ΔE_f (raw): 1.60 eV per atom
* offset from the most stable computed form: 195 meV per atom
* V: 20.72 Å³ per atom
* M_tot: 3.55 μB/f.u.

What did the second record say?
Entry from Alexandria: Te2PdAuN after structural relaxation (PBE). Values from VASP.

Quantum ESPRESSO input file:
```
&SYSTEM
  ibrav = 0, nat = 5, ntyp = 4
/
ATOMIC_SPECIES
Te 127.60 Te.upf
Au 196.97 Au.upf
Pd 106.42 Pd.upf
N 14.01 N.upf
CELL_PARAMETERS angstrom
5.6453 0.0000 0.0000
0.0000 5.6453 0.0000
0.0000 0.0000 3.7085
ATOMIC_POSITIONS angstrom
Te 0.0000 2.8226 0.0000
Te 2.8226 0.0000 0.0000
Au 0.0000 0.0000 0.0000
Pd 2.8226 2.8226 1.8542
N 0.0000 0.0000 1.8542
```

Results
* ΔE_f (raw): 1.03 eV per atom
* offset from the most stable computed form: 298 meV per atom
* V: 23.64 Å³ per atom
* M_tot: 0.32 μB/f.u.

- Which of these has the highest M_tot?
  number 4

- Among the records above, which one has the lowest ΔE_f (raw)?
  Sr6Pd2AuN

- What is the V in the first record?
  31.01 Å³ per atom